No. 1
{
  "formula": "Ga3NiIr",
  "functional": "GGA-PBE",
  "state": "relaxed",
  "polymorph_energy_ev_per_atom": 0.000,
  "spacegroup": "C2/c (15)",
  "cell": [[6.0993, -6.3930, 0.0000], [6.0993, 6.3930, 0.0000], [-1.4405, 0.0000, 3.9644]],
  "species": ["Ga", "Ga", "Ga", "Ga", "Ga", "Ga", "Ga", "Ga", "Ga", "Ga", "Ga", "Ga", "Ni", "Ni", "Ni", "Ni", "Ir", "Ir", "Ir", "Ir"],
  "frac_coords": [[0.0281, 0.2082, 0.3706], [0.1115, 0.6264, 0.1202], [0.2082, 0.0281, 0.8706], [0.2893, 0.4697, 0.6292], [0.3736, 0.8885, 0.3798], [0.4697, 0.2893, 0.1292], [0.5303, 0.7107, 0.8708], [0.6264, 0.1115, 0.6202], [0.7107, 0.5303, 0.3708], [0.7918, 0.9719, 0.1294], [0.8885, 0.3736, 0.8798], [0.9719, 0.7918, 0.6294], [0.2499, 0.7501, 0.7500], [0.3917, 0.6083, 0.2500], [0.6083, 0.3917, 0.7500], [0.7501, 0.2499, 0.2500], [0.1726, 0.3302, 0.0021], [0.3302, 0.1726, 0.5021], [0.6698, 0.8274, 0.4979], [0.8274, 0.6698, 0.9979]]
}

=====

No. 2
{
  "formula": "Sr3Bi2Pd7",
  "functional": "GGA-PBE",
  "state": "relaxed",
  "e_tot_ev_per_atom": -4.49,
  "spacegroup": "P2/m (10)",
  "cell": [[4.4028, 0.0000, 0.0000], [0.0000, 4.2643, 0.0000], [-2.1681, 0.0000, 15.5270]],
  "species": ["Sr", "Sr", "Sr", "Bi", "Bi", "Pd", "Pd", "Pd", "Pd", "Pd", "Pd", "Pd"],
  "frac_coords": [[0.0000, 0.0000, 0.0000], [0.2051, 0.0000, 0.4130], [0.7949, 0.0000, 0.5870], [0.4121, 0.5000, 0.8281], [0.5879, 0.5000, 0.1719], [0.1390, 0.5000, 0.2766], [0.2953, 0.5000, 0.5868], [0.3602, 0.0000, 0.7194], [0.5000, 0.5000, 0.0000], [0.6398, 0.0000, 0.2806], [0.7047, 0.5000, 0.4132], [0.8610, 0.5000, 0.7234]]
}

=====

No. 3
{
  "formula": "LiNd2Ga3Au4",
  "functional": "GGA-PBE",
  "state": "relaxed",
  "e_tot_ev_per_atom": -4.00,
  "spacegroup": "P-4m2 (115)",
  "cell": [[4.4449, 0.0000, 0.0000], [0.0000, 4.4449, 0.0000], [0.0000, 0.0000, 10.4826]],
  "species": ["Li", "Nd", "Nd", "Ga", "Ga", "Ga", "Au", "Au", "Au", "Au"],
  "frac_coords": [[0.0000, 0.0000, 0.0000], [0.0000, 0.5000, 0.7428], [0.5000, 0.0000, 0.2572], [0.0000, 0.5000, 0.3650], [0.5000, 0.0000, 0.6350], [0.5000, 0.5000, 0.0000], [0.0000, 0.0000, 0.5000], [0.0000, 0.5000, 0.1259], [0.5000, 0.0000, 0.8741], [0.5000, 0.5000, 0.5000]]
}

=====

No. 4
{
  "formula": "Tb7Mg3In",
  "functional": "GGA-PBE",
  "state": "relaxed",
  "e_tot_ev_per_atom": -3.53,
  "spacegroup": "Immm (71)",
  "cell": [[-2.8929, 5.0528, 5.6946], [2.8929, -5.0528, 5.6946], [2.8929, 5.0528, -5.6946]],
  "species": ["Tb", "Tb", "Tb", "Tb", "Tb", "Tb", "Tb", "Mg", "Mg", "Mg", "In"],
  "frac_coords": [[0.0000, 0.0000, 0.0000], [0.0987, 0.7690, 0.3297], [0.3090, 0.5000, 0.8090], [0.4393, 0.7690, 0.6703], [0.5607, 0.2310, 0.3297], [0.6910, 0.5000, 0.1910], [0.9013, 0.2310, 0.6703], [0.2775, 0.2775, 0.0000], [0.5000, 0.0000, 0.5000], [0.7225, 0.7225, 0.0000], [0.0000, 0.5000, 0.5000]]
}

=====

No. 5
{
  "formula": "PuZr2Pd",
  "functional": "GGA-PBE",
  "state": "relaxed",
  "polymorph_energy_ev_per_atom": 0.039,
  "spacegroup": "P4/mmm (123)",
  "cell": [[5.0565, 0.0000, 0.0000], [0.0000, 5.0565, 0.0000], [0.0000, 0.0000, 3.1913]],
  "species": ["Pu", "Zr", "Zr", "Pd"],
  "frac_coords": [[0.0000, 0.0000, 0.0000], [0.0000, 0.5000, 0.5000], [0.5000, 0.0000, 0.5000], [0.5000, 0.5000, 0.0000]]
}

=====

No. 6
{
  "formula": "Tl2AsCl",
  "functional": "GGA-PBE",
  "state": "relaxed",
  "polymorph_energy_ev_per_atom": 0.081,
  "spacegroup": "C2/m (12)",
  "raw_formation_energy_ev_per_atom": -0.253,
  "cell": [[3.9022, -3.9057, 0.0000], [3.9022, 3.9057, 0.0000], [-0.3464, 0.0000, 3.4663]],
  "species": ["Tl", "Tl", "As", "Cl"],
  "frac_coords": [[0.0000, 0.5000, 0.0000], [0.5000, 0.0000, 0.0000], [0.0000, 0.0000, 0.5000], [0.5000, 0.5000, 0.5000]]
}

=====

No. 7
{
  "formula": "Pr3Ho2Ag3",
  "functional": "GGA-PBE",
  "state": "relaxed",
  "e_tot_ev_per_atom": -4.19,
  "spacegroup": "Immm (71)",
  "cell": [[-1.8572, 2.7278, 11.0935], [1.8572, -2.7278, 11.0935], [1.8572, 2.7278, -11.0935]],
  "species": ["Pr", "Pr", "Pr", "Ho", "Ho", "Ag", "Ag", "Ag"],
  "frac_coords": [[0.0000, 0.0000, 0.0000], [0.3776, 0.8776, 0.5000], [0.6224, 0.1224, 0.5000], [0.2326, 0.2326, 0.0000], [0.7674, 0.7674, 0.0000], [0.1231, 0.6231, 0.5000], [0.5000, 0.5000, 0.0000], [0.8769, 0.3769, 0.5000]]
}

=====

| no. | density of states at the Fermi level (states/eV/f.u.) | density (kg/m3) |
| --- | --- | --- |
| 1 | 2.0 | 9885 |
| 2 | 4.2 | 8121 |
| 3 | 5.7 | 10363 |
| 4 | 13.1 | 6485 |
| 5 | 6.0 | 10844 |
| 6 | 1.4 | 8159 |
| 7 | 8.8 | 7949 |